i) Ca2AcP (PBE-GGA, relaxed); density = 4.33 g cm⁻³; magnetization = 0.00 μB per formula unit
1.0
3.703 0.000 0.000
0.000 3.703 0.000
0.000 0.000 9.460
Ca Ac P
2 1 1
direct
0.000 0.000 0.841 Ca
0.000 0.000 0.159 Ca
0.500 0.500 0.500 Ac
0.500 0.500 0.000 P

=====

ii) Ca2AcP (PBE-GGA, relaxed); density = 3.57 g cm⁻³; magnetization = 0.00 μB per formula unit
1.0
-0.421 -2.174 -3.412
-0.491 -4.032 0.205
-11.173 -0.720 -0.586
Ac Ca P
1 2 1
direct
0.000 0.000 0.000 Ac
0.879 0.879 0.363 Ca
0.121 0.121 0.637 Ca
0.500 0.500 0.500 P

=====

If we sort the structures by their calculated energies, the order from most to least stable is i), ii).

=====

i) CaAcP (PBE-GGA, relaxed); density = 5.44 g cm⁻³; magnetization = 0.00 μB per formula unit
1.0
-2.414 -2.191 3.856
1.732 -4.333 1.928
2.104 -0.059 4.590
Ca P Ac
1 1 1
direct
0.500 0.500 0.500 Ca
0.250 0.250 0.250 P
0.000 0.000 0.000 Ac

=====

ii) CaAcP (PBE-GGA, relaxed); density = 4.75 g cm⁻³; magnetization = 0.00 μB per formula unit
1.0
-6.330 2.279 -1.596
-2.783 -6.580 1.643
-0.975 2.691 7.710
P Ac Ca
4 4 4
direct
0.515 0.260 0.626 P
0.985 0.260 0.126 P
0.015 0.740 0.874 P
0.485 0.740 0.374 P
0.262 0.083 0.878 Ac
0.238 0.083 0.378 Ac
0.738 0.917 0.122 Ac
0.762 0.917 0.622 Ac
0.227 0.581 0.133 Ca
0.273 0.581 0.633 Ca
0.773 0.419 0.867 Ca
0.727 0.419 0.367 Ca

=====

If we sort the structures by their calculated energies, the order from most to least stable is ii), i).

=====

i) CaAc2Pb2 (PBE-GGA, relaxed); density = 7.89 g cm⁻³; magnetization = 0.00 μB per formula unit
1.0
5.322 0.000 0.000
0.000 7.398 0.000
-2.661 0.000 9.709
Pb Ac Ca
4 4 2
direct
0.569 0.522 0.139 Pb
0.431 0.022 0.861 Pb
0.814 0.552 0.628 Pb
0.186 0.052 0.372 Pb
0.804 0.063 0.608 Ac
0.020 0.261 0.040 Ac
0.980 0.761 0.960 Ac
0.196 0.563 0.392 Ac
0.393 0.467 0.787 Ca
0.607 0.967 0.213 Ca

=====

ii) CaAc2Pb2 (PBE-GGA, relaxed); density = 8.22 g cm⁻³; magnetization = 0.00 μB per formula unit
1.0
-4.792 -0.108 -1.498
1.978 -5.857 -5.906
-1.619 -6.226 5.632
Ac Pb Ca
4 4 2
direct
0.500 0.175 0.675 Ac
0.500 0.825 0.325 Ac
0.500 0.675 0.825 Ac
0.500 0.325 0.175 Ac
0.000 0.872 0.628 Pb
0.000 0.628 0.128 Pb
0.000 0.372 0.872 Pb
0.000 0.128 0.372 Pb
0.000 0.000 0.000 Ca
0.000 0.500 0.500 Ca

=====

If we sort the structures by their calculated energies, the order from most to least stable is ii), i).

=====

i) Ca2Ac3Pb3 (PBE-GGA, relaxed); density = 7.95 g cm⁻³; magnetization = 1.01 μB per formula unit
1.0
-1.760 -1.076 4.085
0.073 -5.185 -1.334
11.727 2.144 3.054
Ca Ac Pb
2 3 3
direct
0.747 0.247 0.494 Ca
0.253 0.753 0.506 Ca
0.500 0.000 0.000 Ac
0.619 0.619 0.237 Ac
0.381 0.381 0.763 Ac
0.000 0.500 0.000 Pb
0.147 0.147 0.295 Pb
0.853 0.853 0.705 Pb

=====

ii) Ca2Ac3Pb3 (PBE-GGA, relaxed); density = 7.84 g cm⁻³; magnetization = 0.00 μB per formula unit
1.0
7.071 0.000 0.000
0.000 8.473 -4.892
0.000 0.000 9.783
Pb Ac Ca
6 6 4
direct
0.750 0.395 0.395 Pb
0.250 0.605 0.605 Pb
0.250 0.395 0.000 Pb
0.750 0.605 0.000 Pb
0.750 0.000 0.605 Pb
0.250 0.000 0.395 Pb
0.750 0.000 0.254 Ac
0.250 0.254 0.254 Ac
0.750 0.254 0.000 Ac
0.250 0.746 0.000 Ac
0.250 0.000 0.746 Ac
0.750 0.746 0.746 Ac
0.000 0.333 0.667 Ca
0.000 0.667 0.333 Ca
0.500 0.333 0.667 Ca
0.500 0.667 0.333 Ca

=====

If we sort the structures by their calculated energies, the order from most to least stable is ii), i).

=====

i) CaAc3Pb4 (PBE-GGA, relaxed); density = 8.51 g cm⁻³; magnetization = 0.00 μB per formula unit
1.0
4.120 0.000 0.000
0.000 7.668 0.000
-2.060 -3.834 9.575
Ca Pb Ac
1 4 3
direct
0.500 0.000 0.000 Ca
0.375 0.586 0.749 Pb
0.625 0.837 0.251 Pb
0.625 0.414 0.251 Pb
0.375 0.163 0.749 Pb
0.212 0.212 0.425 Ac
0.000 0.500 0.000 Ac
0.788 0.788 0.575 Ac

=====

ii) CaAc3Pb4 (PBE-GGA, relaxed); density = 9.33 g cm⁻³; magnetization = 0.00 μB per formula unit
1.0
4.674 0.000 0.000
0.000 5.365 0.000
0.000 0.000 11.006
Pb Ac Ca
4 3 1
direct
0.000 0.500 0.761 Pb
0.000 0.000 0.500 Pb
0.000 0.500 0.239 Pb
0.000 0.000 0.000 Pb
0.500 0.500 0.500 Ac
0.500 0.000 0.759 Ac
0.500 0.000 0.241 Ac
0.500 0.500 0.000 Ca

=====

If we sort the structures by their calculated energies, the order from most to least stable is ii), i).

=====

i) Ca3AcPb2 (PBE-GGA, relaxed); density = 6.03 g cm⁻³; magnetization = 0.00 μB per formula unit
1.0
5.169 0.000 0.000
0.000 8.175 0.000
0.000 0.000 9.926
Ac Ca Pb
2 6 4
direct
0.500 0.028 0.441 Ac
0.500 0.528 0.559 Ac
0.000 0.474 0.927 Ca
0.000 0.848 0.691 Ca
0.000 0.348 0.309 Ca
0.000 0.974 0.073 Ca
0.500 0.653 0.174 Ca
0.500 0.153 0.826 Ca
0.000 0.248 0.637 Pb
0.500 0.749 0.862 Pb
0.500 0.249 0.138 Pb
0.000 0.748 0.363 Pb

=====

ii) Ca3AcPb2 (PBE-GGA, relaxed); density = 5.21 g cm⁻³; magnetization = 0.00 μB per formula unit
1.0
7.898 0.000 0.000
0.000 7.686 0.000
-3.949 -3.843 7.997
Pb Ca Ac
4 6 2
direct
0.563 0.361 0.721 Pb
0.158 0.861 0.721 Pb
0.842 0.139 0.279 Pb
0.437 0.639 0.279 Pb
0.232 0.482 0.464 Ca
0.768 0.018 0.536 Ca
0.500 0.750 0.000 Ca
0.768 0.518 0.536 Ca
0.232 0.982 0.464 Ca
0.500 0.250 0.000 Ca
0.000 0.500 0.000 Ac
0.000 0.000 0.000 Ac

=====

If we sort the structures by their calculated energies, the order from most to least stable is i), ii).